Li2TiV3O8 | PBE+U | optimized geometry

**Excess energy over the best structure of this formula in the dataset**: 0.000 eV/atom
**Theoretical density**: 3.746 Mg/m³

Cell: 5.971 5.994 10.290 Å, 73.67 73.96 60.61°
Space group P-1 (No. 2)
Inequivalent atoms, fractional coordinates:
1 Li 0.062 0.058 0.311 [2 per cell]
2 Li 0.433 0.440 0.188 [2 per cell]
3 Ti 0.248 0.259 0.750 [2 per cell]
4 V 0.000 0.000 0.000 [1 per cell]
5 V 0.000 0.500 0.000 [1 per cell]
6 V 0.000 0.500 0.500 [1 per cell]
7 V 0.500 0.000 0.000 [1 per cell]
8 V 0.500 0.000 0.500 [1 per cell]
9 V 0.500 0.500 0.500 [1 per cell]
10 O 0.085 0.649 0.126 [2 per cell]
11 O 0.137 0.129 0.106 [2 per cell]
12 O 0.147 0.144 0.621 [2 per cell]
13 O 0.153 0.592 0.626 [2 per cell]
14 O 0.364 0.352 0.881 [2 per cell]
15 O 0.371 0.386 0.394 [2 per cell]
16 O 0.374 0.908 0.880 [2 per cell]
17 O 0.407 0.853 0.380 [2 per cell]